Compound: Y8InCu2
Source: the Alexandria database
Functional: PBE-GGA
Structure: relaxed

Cell and atoms, written as extended XYZ:
```
11
Lattice="-5.1968 0.8963 0.9387 -0.7360 -6.8297 -4.3213 2.4025 -1.1814 7.6611" Properties=species:S:1:pos:R:3 pbc="T T T"
Y -3.8112 -6.2704 2.0228
Y -3.0274 -4.8599 5.0150
Y -0.5698 -4.5991 2.3172
Y -2.5724 -5.0101 -0.9426
Y -0.9580 -2.1047 5.2210
Y -2.9606 -2.5157 1.9613
Y -0.5029 -2.2549 -0.7366
Y 0.2808 -0.8444 2.2557
In -2.5984 0.4481 0.4693
Cu 1.4328 -2.9265 3.9590
Cu 0.2337 -5.0846 -0.6192
```

Summary:
Space-group type: C2/m
DFT total energy: -5.779 eV per atom
Crystal system: monoclinic
Magnetic moment: 2.22 μB/f.u.
Formation enthalpy at 0 K: -8.1 kJ/mol of atoms